(1)
Entry from OQMD: an optimized crystal structure of InBMo2 (PBE).

abc: 3.1501 3.1501 14.1012
angles: 90.00 90.00 120.00
Last column: nearest neighbours and their distance in Å.
Fractional positions:
1 In 0.3333 0.6667 0.2500  6 Mo 2.96, 6 In 3.15
2 In 0.6667 0.3333 0.7500  6 Mo 2.96, 6 In 3.15
3 B 0.0000 0.0000 0.0000  6 Mo 2.17
4 B 0.0000 0.0000 0.5000  6 Mo 2.17
5 Mo 0.3333 0.6667 0.5840  3 B 2.17
6 Mo 0.3333 0.6667 0.9160  3 B 2.17
7 Mo 0.6667 0.3333 0.0840  3 B 2.17
8 Mo 0.6667 0.3333 0.4160  3 B 2.17

For the total energy, the calculation gives -0.580 Ry/atom. The calculation puts the total magnetic moment at 0.001 μB per atom.

(2)
Entry from OQMD: an optimized crystal structure of SiHg2S4 (PBE).

abc: 6.7667 6.7667 6.7667
angles: 132.12 132.12 70.03
Last column: nearest neighbours and their distance in Å.
Fractional positions:
1 Si 0.0000 0.0000 0.0000  4 S 2.15
2 Hg 0.5000 0.5000 0.0000  4 S 2.61
3 Hg 0.7500 0.2500 0.5000  4 S 2.60
4 S 0.1204 0.0644 0.4283  1 Si 2.15
5 S 0.3079 0.8796 0.9440  1 Si 2.15
6 S 0.6361 0.6921 0.5717  1 Si 2.15
7 S 0.9356 0.3639 0.0560  1 Si 2.15

For the total energy, the calculation gives -0.262 Ry/atom.

(3)
Entry from OQMD: an optimized crystal structure of HoInSn (PBE).

abc: 5.0548 5.0548 5.0548
angles: 60.00 60.00 60.00
Last column: nearest neighbours and their distance in Å.
Fractional positions:
1 Ho 0.0000 0.0000 0.0000  4 Sn 3.10
2 In 0.5000 0.5000 0.5000  4 Sn 3.10
3 Sn 0.2500 0.2500 0.2500  4 In 3.10, 4 Ho 3.10

For the total energy, the calculation gives -0.285 Ry/atom. The calculation puts the total magnetic moment at 0.002 μB per atom.

(4)
Entry from OQMD: an optimized crystal structure of Ta4TlC2S (PBE).

abc: 3.2557 3.2557 13.0220
angles: 90.00 90.00 120.00
Last column: nearest neighbours and their distance in Å.
Fractional positions:
1 Ta 0.0000 0.0000 0.1381  3 C 2.22
2 Ta 0.0000 0.0000 0.8619  3 C 2.22
3 Ta 0.3333 0.6667 0.3129  3 C 2.18
4 Ta 0.3333 0.6667 0.6871  3 C 2.18
5 Tl 0.0000 0.0000 0.5000  6 Ta 3.08, 6 Tl 3.26
6 C 0.6667 0.3333 0.2281  6 Ta 2.18-2.22
7 C 0.6667 0.3333 0.7719  6 Ta 2.18-2.22
8 S 0.3333 0.6667 0.0000  6 Ta 2.60

For the total energy, the calculation gives -0.700 Ry/atom. The calculation puts the total magnetic moment at 0.000 μB per atom.